No. 1
VASP calculation (PBE-GGA) on an optimized crystal structure of RbMgGa2Os.

Unit cell a=4.916 b=4.916 c=5.193 alpha=90.00 beta=90.00 gamma=90.00
Fractional coordinates of all 5 atoms:
Mg (0.000, 0.000, 0.500)
Os (0.000, 0.000, 0.000)
Ga (0.000, 0.500, 0.000)
Ga (0.500, 0.000, 0.000)
Rb (0.500, 0.500, 0.500)

Computed properties:
Its formation enthalpy at 0 K is -0.071 eV/atom. The calculation puts the total moment at 0.00 μB/f.u. Its density of states at the Fermi level is 0.306 states/eV per atom. The space group is P4/mmm (123).

---

No. 2
VASP calculation (PBE-GGA) on an optimized crystal structure of SrMgGa2Os.

Unit cell a=4.860 b=4.860 c=5.027 alpha=90.00 beta=90.00 gamma=90.00
Fractional coordinates of all 5 atoms:
Sr (0.500, 0.500, 0.500)
Mg (0.000, 0.000, 0.500)
Os (0.000, 0.000, 0.000)
Ga (0.000, 0.500, 0.000)
Ga (0.500, 0.000, 0.000)

Computed properties:
Its formation enthalpy at 0 K is -0.242 eV/atom. The calculation puts the total moment at 0.00 μB/f.u. Its density of states at the Fermi level is 0.272 states/eV per atom. The space group is P4/mmm (123).

---

No. 3
VASP calculation (PBE-GGA) on an optimized crystal structure of SrMg2GaOs.

Unit cell a=5.065 b=5.065 c=4.886 alpha=90.00 beta=90.00 gamma=90.00
Fractional coordinates of all 5 atoms:
Sr (0.500, 0.500, 0.500)
Mg (0.000, 0.500, 0.000)
Mg (0.500, 0.000, 0.000)
Os (0.000, 0.000, 0.000)
Ga (0.000, 0.000, 0.500)

Computed properties:
Its formation enthalpy at 0 K is -0.066 eV/atom. The calculation puts the total moment at 0.00 μB/f.u. Its density of states at the Fermi level is 0.321 states/eV per atom. The space group is P4/mmm (123).

---

No. 4
VASP calculation (PBE-GGA) on an optimized crystal structure of MgGaTcOs.

Unit cell a=4.382 b=4.382 c=4.382 alpha=60.00 beta=60.00 gamma=60.00
Fractional coordinates of all 4 atoms:
Mg (0.250, 0.250, 0.250)
Os (0.750, 0.750, 0.750)
Tc (0.500, 0.500, 0.500)
Ga (0.000, 0.000, 0.000)

Computed properties:
Its formation enthalpy at 0 K is 0.085 eV/atom. The calculation puts the total moment at 0.01 μB/f.u. Its density of states at the Fermi level is 1.131 states/eV per atom. The space group is F-43m (216).

---

No. 5
VASP calculation (PBE-GGA) on an optimized crystal structure of ThMg2Ga2Os.

Unit cell a=3.955 b=3.955 c=10.861 alpha=100.49 beta=100.49 gamma=90.00
Fractional coordinates of all 6 atoms:
Th (0.500, 0.500, 0.000)
Mg (0.250, 0.750, 0.500)
Mg (0.750, 0.250, 0.500)
Ga (0.354, 0.354, 0.707)
Ga (0.646, 0.646, 0.293)
Os (0.000, 0.000, 0.000)

Computed properties:
Its formation enthalpy at 0 K is 0.566 eV/atom. The calculation puts the total moment at 0.00 μB/f.u. Its density of states at the Fermi level is 0.915 states/eV per atom. The space group is I4/mmm (139).

---

No. 6
VASP calculation (PBE-GGA) on an optimized crystal structure of MgGaP.

Unit cell a=4.344 b=12.235 c=4.510 alpha=90.00 beta=90.00 gamma=90.00
Fractional coordinates of all 12 atoms:
Mg (0.000, 0.737, 0.250)
Mg (0.000, 0.263, 0.750)
Mg (0.500, 0.237, 0.250)
Mg (0.500, 0.763, 0.750)
Ga (0.142, 0.000, 0.000)
Ga (0.858, 0.000, 0.500)
Ga (0.642, 0.500, 0.000)
Ga (0.358, 0.500, 0.500)
P (0.000, 0.360, 0.250)
P (0.000, 0.640, 0.750)
P (0.500, 0.860, 0.250)
P (0.500, 0.140, 0.750)

Computed properties:
The value obtained for the energy above the most stable polymorph in this dataset is 37 meV/atom. Its formation enthalpy at 0 K is -0.325 eV/atom. The calculation puts the total moment at 0.00 μB/f.u. Its density of states at the Fermi level is 0.016 states/eV per atom. The space group is C222_1 (20).

---

No. 7
VASP calculation (PBE-GGA) on an optimized crystal structure of MgGa3P.

Unit cell a=4.849 b=4.849 c=4.849 alpha=90.00 beta=90.00 gamma=90.00
Fractional coordinates of all 5 atoms:
P (0.000, 0.000, 0.000)
Mg (0.500, 0.500, 0.500)
Ga (0.000, 0.500, 0.000)
Ga (0.000, 0.000, 0.500)
Ga (0.500, 0.000, 0.000)

Computed properties:
The value obtained for the energy above the most stable polymorph in this dataset is 0 meV/atom. Its formation enthalpy at 0 K is 0.268 eV/atom. The calculation puts the total moment at 0.00 μB/f.u. Its density of states at the Fermi level is 0.393 states/eV per atom. The space group is Pm-3m (221).

---

No. 8
VASP calculation (PBE-GGA) on an optimized crystal structure of MgGaP.

Unit cell a=7.726 b=4.535 c=7.671 alpha=90.00 beta=109.02 gamma=90.00
Fractional coordinates of all 12 atoms:
Mg (0.350, 0.471, 0.263)
Mg (0.650, 0.471, 0.737)
Mg (0.350, 0.971, 0.763)
Mg (0.650, 0.971, 0.237)
Ga (0.982, 0.525, 0.307)
Ga (0.018, 0.525, 0.693)
Ga (0.982, 0.025, 0.807)
Ga (0.018, 0.025, 0.193)
P (0.286, 0.968, 0.087)
P (0.714, 0.968, 0.913)
P (0.286, 0.468, 0.587)
P (0.714, 0.468, 0.413)

Computed properties:
The value obtained for the energy above the most stable polymorph in this dataset is 21 meV/atom. Its formation enthalpy at 0 K is -0.342 eV/atom. The calculation puts the total moment at 0.00 μB/f.u. Its density of states at the Fermi level is 0.033 states/eV per atom. The space group is C2 (5).